Entry from the Alexandria database: crystalline ZnCd4O5 at its relaxed geometry (PBE).

Output
E above lowest polymorph = 0.000 eV per atom
formation energy (no corrections) = -1.05 eV/atom
total magnetization = 0.0 μB/cell
uncorrected energy = -4.03 eV/atom
space-group type = R3m (160)

abc: 3.554 3.554 14.877
angles: 83.14 83.14 60.00
Positions (direct):
Zn (0.950, 0.950, 0.149)
Cd (0.554, 0.554, 0.338)
Cd (0.152, 0.152, 0.545)
Cd (0.749, 0.749, 0.752)
Cd (0.347, 0.347, 0.959)
O (0.995, 0.995, 0.015)
O (0.605, 0.605, 0.186)
O (0.202, 0.202, 0.395)
O (0.799, 0.799, 0.602)
O (0.397, 0.397, 0.809)

***

Entry from the Alexandria database: crystalline ZnCu2Pt7 at its relaxed geometry (PBE).

Output
energy relative to the elements = 3.50 eV/f.u.
total magnetization = 0.0 μB/cell
uncorrected energy = -4.82 eV/atom
space-group type = Cmmm (65)

abc: 4.213 7.225 7.225
angles: 120.61 90.00 90.00
Positions (direct):
Zn (0.000, 0.000, 0.000)
Cu (0.500, 0.701, 0.299)
Cu (0.500, 0.299, 0.701)
Pt (0.000, 0.806, 0.194)
Pt (0.000, 0.194, 0.806)
Pt (0.500, 0.079, 0.298)
Pt (0.500, 0.921, 0.702)
Pt (0.500, 0.298, 0.079)
Pt (0.500, 0.702, 0.921)
Pt (0.500, 0.500, 0.500)

***

Entry from the Alexandria database: crystalline MgZn6Cu6 at its relaxed geometry (PBE).

Output
E above lowest polymorph = 0.004 eV per atom
energy relative to the elements = -1.27 eV/f.u.
total magnetization = 0.0 μB/cell
uncorrected energy = -2.70 eV/atom
space-group type = P6/mmm (191)

abc: 4.994 4.994 8.521
angles: 90.00 90.00 120.00
Positions (direct):
Cu (0.000, 0.500, 0.247)
Cu (0.500, 0.500, 0.247)
Cu (0.500, 0.000, 0.247)
Cu (0.500, 0.500, 0.753)
Cu (0.000, 0.500, 0.753)
Cu (0.500, 0.000, 0.753)
Mg (0.000, 0.000, 0.000)
Zn (0.000, 0.000, 0.342)
Zn (0.000, 0.000, 0.658)
Zn (0.667, 0.333, 0.000)
Zn (0.333, 0.667, 0.000)
Zn (0.667, 0.333, 0.500)
Zn (0.333, 0.667, 0.500)

***

Entry from the Alexandria database: crystalline Sm2Cd5Hg3 at its relaxed geometry (PBE).

Output
energy relative to the elements = -1.91 eV/f.u.
total magnetization = 0.0 μB/cell
uncorrected energy = -1.68 eV/atom
space-group type = Ibam (72)

abc: 6.257 9.509 9.509
angles: 85.28 70.79 70.79
Positions (direct):
Sm (0.124, 0.627, 0.124)
Sm (0.624, 0.124, 0.627)
Sm (0.876, 0.373, 0.876)
Sm (0.376, 0.876, 0.373)
Cd (0.372, 0.268, 0.988)
Cd (0.872, 0.988, 0.268)
Cd (0.628, 0.732, 0.012)
Cd (0.128, 0.012, 0.732)
Cd (0.504, 0.746, 0.746)
Cd (0.496, 0.254, 0.254)
Cd (0.750, 0.500, 0.500)
Cd (0.250, 0.500, 0.500)
Cd (0.996, 0.254, 0.254)
Cd (0.004, 0.746, 0.746)
Hg (0.377, 0.474, 0.772)
Hg (0.877, 0.772, 0.474)
Hg (0.623, 0.526, 0.228)
Hg (0.123, 0.228, 0.526)
Hg (0.250, 0.000, 0.000)
Hg (0.750, 0.000, 0.000)

***

Entry from the Alexandria database: crystalline Ba2CaPt at its relaxed geometry (PBE).

Output
E above lowest polymorph = 0.000 eV per atom
energy relative to the elements = -2.13 eV/f.u.
total magnetization = 0.0 μB/cell
uncorrected energy = -3.51 eV/atom
space-group type = Pnna (52)

abc: 7.179 7.841 12.889
angles: 90.00 90.00 90.00
Positions (direct):
Ba (0.736, 0.919, 0.918)
Ba (0.264, 0.081, 0.082)
Ba (0.236, 0.581, 0.582)
Ba (0.764, 0.419, 0.418)
Ba (0.736, 0.419, 0.082)
Ba (0.264, 0.581, 0.918)
Ba (0.236, 0.081, 0.418)
Ba (0.764, 0.919, 0.582)
Ca (0.250, 0.611, 0.250)
Ca (0.750, 0.389, 0.750)
Ca (0.750, 0.889, 0.250)
Ca (0.250, 0.111, 0.750)
Pt (0.000, 0.250, 0.598)
Pt (0.000, 0.750, 0.402)
Pt (0.500, 0.250, 0.902)
Pt (0.500, 0.750, 0.098)

***

Entry from the Alexandria database: crystalline NdAl3Os at its relaxed geometry (PBE).

Output
energy relative to the elements = -1.71 eV/f.u.
total magnetization = 0.0 μB/cell
uncorrected energy = -5.79 eV/atom
space-group type = Pm-3m (221)

abc: 4.737 4.737 4.737
angles: 90.00 90.00 90.00
Positions (direct):
Nd (0.500, 0.500, 0.500)
Os (0.000, 0.000, 0.000)
Al (0.000, 0.500, 0.000)
Al (0.000, 0.000, 0.500)
Al (0.500, 0.000, 0.000)

***

Entry from the Alexandria database: crystalline Nd2BiCl at its relaxed geometry (PBE).

Output
E above lowest polymorph = 0.095 eV per atom
formation energy (no corrections) = -1.03 eV/atom
total magnetization = 0.0 μB/cell
uncorrected energy = -4.85 eV/atom
space-group type = R3m (160)

abc: 4.295 4.295 8.139
angles: 74.70 74.70 60.00
Positions (direct):
Nd (0.083, 0.083, 0.752)
Nd (0.251, 0.251, 0.246)
Bi (0.668, 0.668, 0.997)
Cl (0.498, 0.498, 0.505)

***

Entry from the Alexandria database: crystalline PuI2Br at its relaxed geometry (PBE).

Output
E above lowest polymorph = 0.000 eV per atom
formation energy (no corrections) = -1.21 eV/atom
total magnetization = 5.0 μB/cell
uncorrected energy = -5.98 eV/atom
space-group type = P-1 (2)

abc: 4.478 5.706 8.527
angles: 88.95 74.83 90.00
Positions (direct):
Pu (0.000, 0.000, 0.000)
I (0.370, 0.993, 0.260)
I (0.629, 0.007, 0.740)
Br (0.001, 0.500, 0.000)